(1)
# SrSb2TeH

A geometry-optimized SrSb2TeH structure (PBE, Alexandria via LeMat-Bulk).

Cell lengths 6.1952, 6.1952, 6.1248 Å; angles 90.00, 90.00, 90.00 degrees
Atoms (fractional coordinates):
Sr1 0.0000 0.0000 0.0000
Sb1 0.0000 0.5000 0.0000
Sb2 0.5000 0.0000 0.0000
Te1 0.0000 0.0000 0.5000
H1 0.5000 0.5000 0.5000

Computed properties:
- Crystal system: tetragonal
- Energy above the lowest structure with this stoichiometry: 1.157 eV per atom

***

(2)
# MgUP2Rh5

A geometry-optimized MgUP2Rh5 structure (PBE, Alexandria via LeMat-Bulk).

Cell lengths 4.0268, 4.0268, 8.5028 Å; angles 90.00, 90.00, 90.00 degrees
Atoms (fractional coordinates):
Mg1 0.0000 0.0000 0.0000
U1 0.0000 0.0000 0.5000
P1 0.5000 0.5000 0.3666
P2 0.5000 0.5000 0.6334
Rh1 0.0000 0.5000 0.2317
Rh2 0.0000 0.5000 0.7683
Rh3 0.5000 0.0000 0.2317
Rh4 0.5000 0.0000 0.7683
Rh5 0.5000 0.5000 0.0000

Computed properties:
- ΔH_f (0 K): -6.1 eV/f.u.
- Crystal system: tetragonal